# 1
Material: LaGaCuPd3
Method: DFT, PBE-GGA
State: optimized geometry

Unit cell a=5.695 b=13.160 c=5.935 alpha=90.00 beta=90.00 gamma=90.00
Space group Cmcm (No. 63)
One atom of each set of equivalent atoms:
La1 0.000 0.184 0.250
Ga1 0.000 0.123 0.750
Cu1 0.000 0.389 0.250
Pd1 0.000 0.326 0.750
Pd2 0.248 0.000 0.000

Output
The value obtained for the formation energy is -0.51 eV/atom.

---

# 2
Material: LaGa3CuPd
Method: DFT, PBE-GGA
State: optimized geometry

Unit cell a=6.253 b=12.103 c=6.265 alpha=90.00 beta=90.00 gamma=90.00
Space group Cmcm (No. 63)
One atom of each set of equivalent atoms:
La1 0.000 0.224 0.250
Ga1 0.000 0.342 0.750
Ga2 0.212 0.000 0.000
Cu1 0.000 0.458 0.250
Pd1 0.000 0.135 0.750

Output
The value obtained for the formation energy is -0.39 eV/atom.

---

What is the formula in the second record? LaGa3CuPd